w:
Compound: Sr2TaSe
Source: the Alexandria database
Functional: GGA-PBE
Structure: optimized geometry

Properties
The crystal system is orthorhombic.

Lattice parameters (Å, degrees): 6.6547 6.6547 6.6547 149.18 129.55 60.30
Last column: nearest neighbours and their distance in Å.
Element x y z (fractional)
Sr: 0.0000 0.0000 0.0000  4 Se 3.38, 4 Sr 3.54-3.57, 4 Ta 3.74-3.75
Sr: 0.6884 0.1884 0.5000  2 Se 3.22, 4 Ta 3.53, 4 Sr 3.54-3.57
Ta: 0.2868 0.7868 0.5000  2 Se 2.62
Se: 0.4543 0.4543 0.0000  2 Ta 2.62



x:
Compound: Sr2TaSe
Source: the Alexandria database
Functional: GGA-PBE
Structure: optimized geometry

Properties
The crystal system is orthorhombic.

Lattice parameters (Å, degrees): 4.2528 4.8682 6.5856 90.00 90.00 90.00
Last column: nearest neighbours and their distance in Å.
Element x y z (fractional)
Sr: 0.0000 0.0000 0.0000  4 Se 3.23, 2 Ta 3.29
Sr: 0.5000 0.5000 0.4966  4 Ta 3.23, 2 Se 3.29-3.30
Ta: 0.0000 0.0000 0.5001  6 Sr 3.23-3.29
Se: 0.5000 0.5000 0.9974  6 Sr 3.23-3.30



Which is the most stable structure? w is the most stable.



w:
Compound: Sr2TaSe
Source: the Alexandria database
Functional: GGA-PBE
Structure: optimized geometry

Properties
The crystal system is cubic.

Lattice parameters (Å, degrees): 5.5921 5.5921 5.5921 60.00 60.00 60.00
Last column: nearest neighbours and their distance in Å.
Element x y z (fractional)
Sr: 0.2500 0.2500 0.2500  4 Ta 3.42, 4 Se 3.42
Sr: 0.7500 0.7500 0.7500  4 Ta 3.42, 4 Se 3.42
Ta: 0.0000 0.0000 0.0000  8 Sr 3.42
Se: 0.5000 0.5000 0.5000  8 Sr 3.42



x:
Compound: Sr2TaSe
Source: the Alexandria database
Functional: GGA-PBE
Structure: optimized geometry

Properties
The crystal system is tetragonal.

Lattice parameters (Å, degrees): 3.5654 3.5654 9.2946 90.00 90.00 90.00
Last column: nearest neighbours and their distance in Å.
Element x y z (fractional)
Sr: 0.0000 0.0000 0.0000  1 Ta 3.30, 4 Se 3.39, 4 Sr 3.57
Sr: 0.5000 0.5000 0.3888  1 Se 3.42, 4 Ta 3.47, 4 Sr 3.57
Ta: 0.0000 0.0000 0.6446  4 Se 2.73
Se: 0.5000 0.5000 0.7564  4 Ta 2.73



y:
Compound: Sr2TaSe
Source: the Alexandria database
Functional: GGA-PBE
Structure: optimized geometry

Properties
The crystal system is tetragonal.

Lattice parameters (Å, degrees): 3.5732 3.5732 8.9252 90.00 90.00 90.00
Last column: nearest neighbours and their distance in Å.
Element x y z (fractional)
Sr: 0.0000 0.0000 0.2124  4 Se 3.16
Sr: 0.0000 0.0000 0.7876  4 Se 3.16
Ta: 0.5000 0.5000 0.5000  4 Ta 3.57, 8 Sr 3.60
Se: 0.5000 0.5000 0.0000  8 Sr 3.16



Which is the most stable structure? x is the most stable.



w:
Compound: SrTaSe2
Source: the Alexandria database
Functional: GGA-PBE
Structure: optimized geometry

Properties
The crystal system is tetragonal.

Lattice parameters (Å, degrees): 3.3779 3.3779 7.3194 90.00 90.00 90.00
Last column: nearest neighbours and their distance in Å.
Element x y z (fractional)
Sr: 0.0000 0.0000 0.0000  8 Se 3.20, 4 Sr 3.38
Ta: 0.0000 0.0000 0.5000  8 Se 2.83
Se: 0.5000 0.5000 0.2914  4 Ta 2.83, 1 Se 3.05
Se: 0.5000 0.5000 0.7086  4 Ta 2.83, 1 Se 3.05



x:
Compound: SrTaSe2
Source: the Alexandria database
Functional: GGA-PBE
Structure: optimized geometry

Properties
The crystal system is orthorhombic.

Lattice parameters (Å, degrees): 5.0121 5.4791 5.4791 39.23 90.00 90.00
Last column: nearest neighbours and their distance in Å.
Element x y z (fractional)
Sr: 0.0000 0.0000 0.0000  7 Se 2.89-3.20
Ta: 0.5000 0.7276 0.7276  4 Se 2.51-2.75
Se: 0.0000 0.7200 0.7200  2 Ta 2.51
Se: 0.5000 0.4250 0.4250  2 Ta 2.75



y:
Compound: SrTaSe2
Source: the Alexandria database
Functional: GGA-PBE
Structure: optimized geometry

Properties
The crystal system is cubic.

Lattice parameters (Å, degrees): 4.9206 4.9206 4.9206 60.00 60.00 60.00
Last column: nearest neighbours and their distance in Å.
Element x y z (fractional)
Sr: 0.0000 0.0000 0.0000  8 Se 3.01
Ta: 0.5000 0.5000 0.5000  8 Se 3.01
Se: 0.2500 0.2500 0.2500  4 Ta 3.01, 4 Sr 3.01
Se: 0.7500 0.7500 0.7500  4 Ta 3.01, 4 Sr 3.01



z:
Compound: SrTaSe2
Source: the Alexandria database
Functional: GGA-PBE
Structure: optimized geometry

Properties
The crystal system is orthorhombic.

Lattice parameters (Å, degrees): 5.7569 5.7569 5.7569 142.94 112.17 79.90
Last column: nearest neighbours and their distance in Å.
Element x y z (fractional)
Sr: 0.0000 0.0000 0.0000  4 Se 3.20
Ta: 0.5000 0.5000 0.0000  4 Se 2.56
Se: 0.2969 0.7969 0.5000  2 Ta 2.56
Se: 0.7031 0.2031 0.5000  2 Ta 2.56



Which is the most stable structure? x is the most stable.



w:
Compound: SrTaSe2
Source: the Alexandria database
Functional: GGA-PBE
Structure: optimized geometry

Properties
The crystal system is tetragonal.

Lattice parameters (Å, degrees): 7.1214 7.1214 7.1214 147.34 147.34 46.86
Last column: nearest neighbours and their distance in Å.
Element x y z (fractional)
Sr: 0.0000 0.0000 0.0000  4 Se 2.83
Ta: 0.2500 0.7500 0.5000  4 Se 2.83
Se: 0.5000 0.5000 0.0000  4 Sr 2.83
Se: 0.7500 0.2500 0.5000  4 Ta 2.83



x:
Compound: SrTaSe2
Source: the Alexandria database
Functional: GGA-PBE
Structure: optimized geometry

Properties
The crystal system is tetragonal.

Lattice parameters (Å, degrees): 8.1889 8.1889 8.1889 137.00 137.00 62.43
Last column: nearest neighbours and their distance in Å.
Element x y z (fractional)
Sr: 0.0000 0.0000 0.0000  4 Se 3.04
Sr: 0.7500 0.2500 0.5000  4 Se 3.04
Ta: 0.2500 0.7500 0.5000  4 Se 2.52
Ta: 0.5000 0.5000 0.0000  4 Se 2.52
Se: 0.2057 0.6250 0.0807  2 Ta 2.52
Se: 0.3750 0.4557 0.5807  2 Ta 2.52
Se: 0.5443 0.1250 0.9193  2 Ta 2.52
Se: 0.8750 0.7943 0.4193  2 Ta 2.52



y:
Compound: SrTaSe2
Source: the Alexandria database
Functional: GGA-PBE
Structure: optimized geometry

Properties
The crystal system is trigonal.

Lattice parameters (Å, degrees): 9.9292 9.9292 9.9292 20.58 20.58 20.58
Last column: nearest neighbours and their distance in Å.
Element x y z (fractional)
Sr: 0.0000 0.0000 0.0000  3 Se 2.95
Ta: 0.2288 0.2288 0.2288  3 Se 2.57
Se: 0.5091 0.5091 0.5091  3 Ta 2.57
Se: 0.7395 0.7395 0.7395  3 Sr 2.95



Which is the most stable structure? x is the most stable.



w:
Compound: SrTaSe2
Source: the Alexandria database
Functional: GGA-PBE
Structure: optimized geometry

Properties
The crystal system is tetragonal.

Lattice parameters (Å, degrees): 3.7372 3.7372 7.2633 90.00 90.00 90.00
Last column: nearest neighbours and their distance in Å.
Element x y z (fractional)
Sr: 0.0000 0.0000 0.0000  5 Se 3.03-3.08
Ta: 0.5000 0.5000 0.4437  5 Se 2.57-2.65
Se: 0.0000 0.0000 0.4245  4 Ta 2.65
Se: 0.5000 0.5000 0.7971  1 Ta 2.57



x:
Compound: SrTaSe2
Source: the Alexandria database
Functional: GGA-PBE
Structure: optimized geometry

Properties
The crystal system is monoclinic.

Lattice parameters (Å, degrees): 4.1739 4.1739 6.8541 105.48 105.48 55.01
Last column: nearest neighbours and their distance in Å.
Element x y z (fractional)
Sr: 0.0000 0.0000 0.0000  6 Se 3.04-3.06
Ta: 0.5000 0.5000 0.5000  6 Se 2.70-2.72
Se: 0.2370 0.2370 0.7038  3 Ta 2.70-2.72
Se: 0.7630 0.7630 0.2962  3 Ta 2.70-2.72



y:
Compound: SrTaSe2
Source: the Alexandria database
Functional: GGA-PBE
Structure: optimized geometry

Properties
The crystal system is cubic.

Lattice parameters (Å, degrees): 5.1169 5.1169 5.1169 60.00 60.00 60.00
Last column: nearest neighbours and their distance in Å.
Element x y z (fractional)
Sr: 0.0000 0.0000 0.0000  4 Ta 3.13, 4 Se 3.13
Ta: 0.7500 0.7500 0.7500  4 Se 3.13, 4 Sr 3.13
Se: 0.2500 0.2500 0.2500  4 Se 3.13, 4 Sr 3.13
Se: 0.5000 0.5000 0.5000  4 Se 3.13, 4 Ta 3.13



z:
Compound: SrTaSe2
Source: the Alexandria database
Functional: GGA-PBE
Structure: optimized geometry

Properties
The crystal system is monoclinic.

Lattice parameters (Å, degrees): 4.4291 4.4291 7.0407 103.67 103.67 48.66
Last column: nearest neighbours and their distance in Å.
Element x y z (fractional)
Sr: 0.0000 0.0000 0.0000  6 Se 3.11-3.36
Ta: 0.2780 0.2780 0.5652  5 Se 2.55-2.65
Se: 0.6043 0.6043 0.6934  3 Ta 2.55-2.60
Se: 0.7644 0.7644 0.2885  2 Ta 2.65



Which is the most stable structure? x is the most stable.



w:
Compound: SrTa3Se
Source: the Alexandria database
Functional: GGA-PBE
Structure: optimized geometry

Properties
The crystal system is cubic.

Lattice parameters (Å, degrees): 4.9033 4.9033 4.9033 90.00 90.00 90.00
Last column: nearest neighbours and their distance in Å.
Element x y z (fractional)
Sr: 0.0000 0.0000 0.0000  12 Ta 3.47
Ta: 0.0000 0.5000 0.5000  2 Se 2.45
Ta: 0.5000 0.0000 0.5000  2 Se 2.45
Ta: 0.5000 0.5000 0.0000  2 Se 2.45
Se: 0.5000 0.5000 0.5000  6 Ta 2.45



x:
Compound: SrTa3Se
Source: the Alexandria database
Functional: GGA-PBE
Structure: optimized geometry

Properties
The crystal system is cubic.

Lattice parameters (Å, degrees): 4.9476 4.9476 4.9476 90.00 90.00 90.00
Last column: nearest neighbours and their distance in Å.
Element x y z (fractional)
Sr: 0.0000 0.0000 0.0000  6 Ta 2.47
Ta: 0.0000 0.0000 0.5000  2 Sr 2.47
Ta: 0.0000 0.5000 0.0000  2 Sr 2.47
Ta: 0.5000 0.0000 0.0000  2 Sr 2.47
Se: 0.5000 0.5000 0.5000  12 Ta 3.50



Which is the most stable structure? w is the most stable.



w:
Compound: Sr2Tc2Se
Source: the Alexandria database
Functional: GGA-PBE
Structure: optimized geometry

Properties
The crystal system is tetragonal.

Lattice parameters (Å, degrees): 5.6964 5.6964 5.6964 114.94 114.94 99.01
Last column: nearest neighbours and their distance in Å.
Element x y z (fractional)
Sr: 0.2500 0.7500 0.5000  4 Tc 3.15
Sr: 0.7500 0.2500 0.5000  4 Tc 3.15
Tc: 0.1495 0.1495 0.0000  1 Tc 2.21
Tc: 0.8505 0.8505 0.0000  1 Tc 2.21
Se: 0.5000 0.5000 0.0000  2 Tc 2.59



x:
Compound: Sr2Tc2Se
Source: the Alexandria database
Functional: GGA-PBE
Structure: optimized geometry

Properties
The crystal system is tetragonal.

Lattice parameters (Å, degrees): 6.9812 6.9812 4.9390 90.00 90.00 90.00
Last column: nearest neighbours and their distance in Å.
Element x y z (fractional)
Sr: 0.1797 0.3203 0.0000  6 Tc 3.20-3.24, 1 Sr 3.55, 4 Se 3.56
Sr: 0.3203 0.8203 0.0000  6 Tc 3.20-3.24, 1 Sr 3.55, 4 Se 3.56
Sr: 0.6797 0.1797 0.0000  6 Tc 3.20-3.24, 1 Sr 3.55, 4 Se 3.56
Sr: 0.8203 0.6797 0.0000  6 Tc 3.20-3.24, 1 Sr 3.55, 4 Se 3.56
Tc: 0.1135 0.6135 0.5000  1 Tc 2.24
Tc: 0.3865 0.1135 0.5000  1 Tc 2.24
Tc: 0.6135 0.8865 0.5000  1 Tc 2.24
Tc: 0.8865 0.3865 0.5000  1 Tc 2.24
Se: 0.0000 0.0000 0.5000  4 Tc 2.81
Se: 0.5000 0.5000 0.5000  4 Tc 2.81



Which is the most stable structure? x is the most stable.



w:
Compound: Sr2TeSe
Source: the Alexandria database
Functional: GGA-PBE
Structure: optimized geometry

Properties
The crystal system is orthorhombic.

Lattice parameters (Å, degrees): 3.9703 5.5872 5.6150 90.00 90.00 90.00
Last column: nearest neighbours and their distance in Å.
Element x y z (fractional)
Sr: 0.0000 0.0000 0.0000  4 Se 3.43, 4 Te 3.44
Sr: 0.0000 0.5000 0.5000  4 Te 3.43, 4 Se 3.44
Te: 0.5000 0.0000 0.5000  8 Sr 3.43-3.44
Se: 0.5000 0.5000 0.0000  8 Sr 3.43-3.44



x:
Compound: Sr2TeSe
Source: the Alexandria database
Functional: GGA-PBE
Structure: optimized geometry

Properties
The crystal system is orthorhombic.

Lattice parameters (Å, degrees): 3.9569 3.9569 7.9210 90.00 90.00 90.44
Last column: nearest neighbours and their distance in Å.
Element x y z (fractional)
Sr: 0.0000 0.0000 0.2399  4 Se 3.37-3.39, 4 Te 3.47-3.48
Sr: 0.0000 0.0000 0.7601  4 Se 3.37-3.39, 4 Te 3.47-3.48
Te: 0.5000 0.5000 0.5000  8 Sr 3.47-3.48
Se: 0.5000 0.5000 0.0000  8 Sr 3.37-3.39



Which is the most stable structure? x is the most stable.



w:
Compound: Sr2TeSe
Source: the Alexandria database
Functional: GGA-PBE
Structure: optimized geometry

Properties
The crystal system is trigonal.

Lattice parameters (Å, degrees): 8.2884 8.2884 8.2884 31.61 31.61 31.61
Last column: nearest neighbours and their distance in Å.
Element x y z (fractional)
Sr: 0.0000 0.0000 0.0000  3 Se 3.17, 3 Te 3.33
Sr: 0.1782 0.1782 0.1782  3 Se 3.21, 3 Te 3.37
Te: 0.4213 0.4213 0.4213  6 Sr 3.33-3.37
Se: 0.5905 0.5905 0.5905  6 Sr 3.17-3.21



x:
Compound: Sr2TeSe
Source: the Alexandria database
Functional: GGA-PBE
Structure: optimized geometry

Properties
The crystal system is orthorhombic.

Lattice parameters (Å, degrees): 8.3397 8.3397 8.3397 150.99 150.45 41.89
Last column: nearest neighbours and their distance in Å.
Element x y z (fractional)
Sr: 0.0000 0.0000 0.0000  4 Se 3.23, 2 Te 3.38
Sr: 0.7368 0.2368 0.5000  2 Se 3.22, 4 Te 3.33
Te: 0.3315 0.8315 0.5000  6 Sr 3.33-3.38
Se: 0.5798 0.5798 0.0000  6 Sr 3.22-3.23



Which is the most stable structure? w is the most stable.



w:
Compound: SrThSe3
Source: the Alexandria database
Functional: GGA-PBE
Structure: optimized geometry

Properties
The crystal system is monoclinic.

Lattice parameters (Å, degrees): 8.3672 8.3672 8.6574 95.58 95.58 36.41
Last column: nearest neighbours and their distance in Å.
Element x y z (fractional)
Sr: 0.1439 0.1439 0.3717  6 Se 3.03-3.27
Sr: 0.8561 0.8561 0.6283  6 Se 3.03-3.27
Th: 0.3734 0.3734 0.0897  6 Se 2.84-3.10
Th: 0.6266 0.6266 0.9103  6 Se 2.84-3.10
Se: 0.1783 0.1783 0.0142  3 Th 2.86-3.10, 1 Sr 3.20
Se: 0.3356 0.3356 0.4032  1 Th 2.84, 1 Sr 3.03
Se: 0.4509 0.4509 0.7930  2 Th 2.87-2.96
Se: 0.5491 0.5491 0.2070  2 Th 2.87-2.96
Se: 0.6644 0.6644 0.5968  1 Th 2.84, 1 Sr 3.03
Se: 0.8217 0.8217 0.9858  3 Th 2.86-3.10, 1 Sr 3.20



x:
Compound: SrThSe3
Source: the Alexandria database
Functional: GGA-PBE
Structure: optimized geometry

Properties
The crystal system is orthorhombic.

Lattice parameters (Å, degrees): 8.0070 4.3730 16.6791 90.00 90.00 90.00
Last column: nearest neighbours and their distance in Å.
Element x y z (fractional)
Sr: 0.1211 0.2500 0.2097  7 Se 3.07-3.36
Sr: 0.3789 0.7500 0.7097  7 Se 3.07-3.36
Sr: 0.6211 0.2500 0.2903  7 Se 3.07-3.36
Sr: 0.8789 0.7500 0.7903  7 Se 3.07-3.36
Th: 0.2396 0.7500 0.4571  7 Se 2.90-3.11
Th: 0.2604 0.2500 0.9571  7 Se 2.90-3.11
Th: 0.7396 0.7500 0.0429  7 Se 2.90-3.11
Th: 0.7604 0.2500 0.5429  7 Se 2.90-3.11
Se: 0.0128 0.2500 0.4046  3 Th 2.97-3.07
Se: 0.1273 0.7500 0.0583  3 Th 2.96-3.11
Se: 0.1666 0.2500 0.7889  1 Th 2.90, 4 Sr 3.07-3.18
Se: 0.3334 0.7500 0.2889  1 Th 2.90, 4 Sr 3.07-3.18
Se: 0.3727 0.2500 0.5583  3 Th 2.96-3.11
Se: 0.4872 0.7500 0.9046  3 Th 2.97-3.07
Se: 0.5128 0.2500 0.0954  3 Th 2.97-3.07
Se: 0.6273 0.7500 0.4417  3 Th 2.96-3.11
Se: 0.6666 0.2500 0.7111  1 Th 2.90, 4 Sr 3.07-3.18
Se: 0.8334 0.7500 0.2111  1 Th 2.90, 4 Sr 3.07-3.18
Se: 0.8727 0.2500 0.9417  3 Th 2.96-3.11
Se: 0.9872 0.7500 0.5954  3 Th 2.97-3.07



Which is the most stable structure? x is the most stable.